1.
The following is a DFT calculation (PBE-GGA) of a relaxed TcGeTe crystal.

Calculated values
crystal system: monoclinic
formation energy from raw total energies: -0.0297 eV/atom
volume: 243.42 Å³ per cell
density of states at the Fermi level: 9.77 states/eV per cell

Lattice parameters (Å, degrees): 6.713 6.700 6.613 125.07 90.00 90.00
Fractional coordinates of all 12 atoms:
1 Tc 0.992 0.265 0.267
2 Ge 0.176 0.352 0.651
3 Te 0.609 0.161 0.324
4 Ge 0.324 0.352 0.151
5 Te 0.109 0.839 0.176
6 Tc 0.492 0.735 0.233
7 Tc 0.008 0.735 0.733
8 Ge 0.824 0.648 0.349
9 Te 0.391 0.839 0.676
10 Tc 0.508 0.265 0.767
11 Te 0.891 0.161 0.824
12 Ge 0.676 0.648 0.849

=====

2.
The following is a DFT calculation (PBE-GGA) of a relaxed Tb2Al2SbRh5 crystal.

Calculated values
crystal system: tetragonal
formation energy from raw total energies: -0.8669 eV/atom
volume: 349.10 Å³ per cell
density of states at the Fermi level: 4.91 states/eV per cell

Lattice parameters (Å, degrees): 3.560 9.903 9.903 90.00 90.00 90.00
Fractional coordinates of all 20 atoms:
1 Rh 0.500 0.710 0.431
2 Tb 0.000 0.824 0.676
3 Rh 0.500 0.000 0.500
4 Rh 0.500 0.931 0.210
5 Rh 0.500 0.210 0.069
6 Tb 0.000 0.676 0.176
7 Al 0.000 0.121 0.621
8 Al 0.000 0.379 0.121
9 Al 0.000 0.621 0.879
10 Tb 0.000 0.324 0.824
11 Rh 0.500 0.431 0.290
12 Sb 0.000 0.000 0.000
13 Al 0.000 0.879 0.379
14 Rh 0.500 0.069 0.790
15 Rh 0.500 0.500 0.000
16 Rh 0.500 0.790 0.931
17 Rh 0.500 0.290 0.569
18 Rh 0.500 0.569 0.710
19 Tb 0.000 0.176 0.324
20 Sb 0.000 0.500 0.500

=====

3.
The following is a DFT calculation (PBE-GGA) of a relaxed Tb4Er3Ag4 crystal.

Calculated values
crystal system: orthorhombic
volume: 297.01 Å³ per cell
density of states at the Fermi level: 11.71 states/eV per cell
VASP energy: -4.088 eV per atom

Lattice parameters (Å, degrees): 3.630 9.375 10.071 117.74 100.38 90.00
Fractional coordinates of all 11 atoms:
1 Tb 0.661 0.848 0.322
2 Tb 0.339 0.152 0.678
3 Ag 0.258 0.758 0.516
4 Er 0.899 0.899 0.798
5 Ag 0.500 0.808 0.000
6 Er 0.000 0.500 0.000
7 Tb 0.339 0.526 0.678
8 Ag 0.500 0.192 0.000
9 Er 0.101 0.101 0.202
10 Ag 0.742 0.242 0.484
11 Tb 0.661 0.474 0.322